The following is a PBE-GGA calculation of LaAlHg after structural relaxation, from the Alexandria database.

Results
E_tot ... -10.077 eV per formula unit
Magnetic moment ... 0.0 μB/cell

a = 6.5812 Å, b = 5.0304 Å, c = 9.4348 Å
α = 90.00°, β = 90.00°, γ = 90.00°
Space group Pnma (No. 62)
Unique sites:
La (0.1989, 0.2500, 0.0783)
Al (0.0232, 0.2500, 0.7284)
Hg (0.1791, 0.2500, 0.4039)

***

The following is a PBE-GGA calculation of SiHgTe2 after structural relaxation, from the Alexandria database.

Results
Raw formation energy ... 358 meV per atom
Energy above the most stable polymorph in this dataset ... 300 meV/atom
Magnetic moment ... 0.0 μB/cell

a = 3.8907 Å, b = 3.9032 Å, c = 7.2514 Å
α = 90.00°, β = 90.00°, γ = 90.00°
Space group Pmmm (No. 47)
Unique sites:
Si (0.0000, 0.0000, 0.0000)
Hg (0.0000, 0.0000, 0.5000)
Te (0.5000, 0.5000, 0.1979)

***

The following is a PBE-GGA calculation of RbGa3Fe after structural relaxation, from the Alexandria database.

Results
Energy above the most stable polymorph in this dataset ... 1903 meV/atom
Magnetic moment ... 3.0 μB/cell

a = 5.5623 Å, b = 5.5623 Å, c = 5.5623 Å
α = 90.00°, β = 90.00°, γ = 90.00°
Space group Pm-3m (No. 221)
Unique sites:
Rb (0.0000, 0.0000, 0.0000)
Ga (0.0000, 0.0000, 0.5000)
Fe (0.5000, 0.5000, 0.5000)

***

The following is a PBE-GGA calculation of Na2Tb2NpO6 after structural relaxation, from the Alexandria database.

Results
Raw formation energy ... -2780 meV per atom
Magnetic moment ... 6.0 μB/cell

a = 6.0157 Å, b = 10.4598 Å, c = 5.9372 Å
α = 90.00°, β = 108.67°, γ = 90.00°
Space group C2/m (No. 12)
Unique sites:
Na (0.0000, 0.1700, 0.0000)
Tb (0.0000, 0.3343, 0.5000)
Np (0.0000, 0.0000, 0.5000)
O (0.2207, 0.1699, 0.6996)
O (0.2484, 0.0000, 0.3043)

***

The following is a PBE-GGA calculation of InHgSCl2 after structural relaxation, from the Alexandria database.

Results
Raw formation energy ... -160 meV per atom
Energy above the most stable polymorph in this dataset ... 150 meV/atom
Magnetic moment ... 0.6 μB/cell

a = 5.3763 Å, b = 5.3763 Å, c = 5.0256 Å
α = 90.00°, β = 90.00°, γ = 90.00°
Space group P4/mmm (No. 123)
Unique sites:
In (0.0000, 0.0000, 0.0000)
Hg (0.5000, 0.5000, 0.5000)
S (0.5000, 0.5000, 0.0000)
Cl (0.0000, 0.5000, 0.5000)

***

The following is a PBE-GGA calculation of Li5Tl after structural relaxation, from the Alexandria database.

Results
Energy above the most stable polymorph in this dataset ... 9 meV/atom
Magnetic moment ... 0.0 μB/cell

a = 8.4187 Å, b = 4.6602 Å, c = 5.7299 Å
α = 90.00°, β = 94.52°, γ = 90.00°
Space group C2/m (No. 12)
Unique sites:
Li (0.0000, 0.0000, 0.0000)
Li (0.1664, 0.5000, 0.3207)
Li (0.1664, 0.5000, 0.7936)
Tl (0.0000, 0.0000, 0.5000)

***

The following is a PBE-GGA calculation of YRuPb2 after structural relaxation, from the Alexandria database.

Results
E_tot ... -23.048 eV per formula unit
Magnetic moment ... 0.0 μB/cell

a = 3.5793 Å, b = 4.7160 Å, c = 5.7717 Å
α = 90.00°, β = 98.75°, γ = 90.00°
Space group P2/m (No. 10)
Unique sites:
Y (0.0000, 0.0000, 0.0000)
Ru (0.5000, 0.0000, 0.5000)
Pb (0.3390, 0.5000, 0.7320)

***

The following is a PBE-GGA calculation of GeH2Se2 after structural relaxation, from the Alexandria database.

Results
Energy above the most stable polymorph in this dataset ... 287 meV/atom
Magnetic moment ... 0.0 μB/cell

a = 7.6434 Å, b = 7.6434 Å, c = 3.2035 Å
α = 90.00°, β = 90.00°, γ = 90.00°
Space group P4/mbm (No. 127)
Unique sites:
Ge (0.0000, 0.0000, 0.0000)
H (0.1427, 0.3573, 0.5000)
Se (0.2041, 0.2959, 0.0000)

***

The following is a PBE-GGA calculation of Sm5ScIn5 after structural relaxation, from the Alexandria database.

Results
E_tot ... -46.244 eV per formula unit
Magnetic moment ... 0.0 μB/cell

a = 17.7768 Å, b = 5.6673 Å, c = 7.0143 Å
α = 90.00°, β = 113.12°, γ = 90.00°
Space group C2/m (No. 12)
Unique sites:
Sm (0.0000, 0.0000, 0.0000)
Sm (0.1430, 0.5000, 0.1443)
Sm (0.1899, 0.5000, 0.6909)
Sc (0.0000, 0.0000, 0.5000)
In (0.0000, 0.5000, 0.5000)
In (0.1591, 0.0000, 0.4383)
In (0.1590, 0.0000, 0.8803)

***

The following is a PBE-GGA calculation of PrGe4Rh4 after structural relaxation, from the Alexandria database.

Results
E_tot ... -58.340 eV per formula unit
Magnetic moment ... 0.0 μB/cell

a = 6.1620 Å, b = 6.1620 Å, c = 8.2690 Å
α = 90.00°, β = 90.00°, γ = 90.00°
Space group P4_2/nmc (No. 137, origin choice 2)
Unique sites:
Pr (0.2500, 0.7500, 0.2500)
Ge (0.0412, 0.2500, 0.0753)
Rh (0.0204, 0.2500, 0.3742)

***

The following is a PBE-GGA calculation of RbLaTe2I after structural relaxation, from the Alexandria database.

Results
Raw formation energy ... -1115 meV per atom
Energy above the most stable polymorph in this dataset ... 0 meV/atom
Magnetic moment ... 0.0 μB/cell

a = 6.1918 Å, b = 6.1918 Å, c = 6.4423 Å
α = 90.00°, β = 90.00°, γ = 90.00°
Space group P4/mmm (No. 123)
Unique sites:
Rb (0.0000, 0.0000, 0.0000)
La (0.5000, 0.5000, 0.5000)
Te (0.0000, 0.5000, 0.5000)
I (0.5000, 0.5000, 0.0000)

***

The following is a PBE-GGA calculation of Y3ErIn after structural relaxation, from the Alexandria database.

Results
Energy above the most stable polymorph in this dataset ... 206 meV/atom
Magnetic moment ... 3.3 μB/cell

a = 7.1207 Å, b = 7.1207 Å, c = 22.3649 Å
α = 90.00°, β = 90.00°, γ = 120.00°
Space group R-3m (No. 166, hexagonal axes)
Unique sites:
Y (0.0039, 0.5020, 0.3921)
Er (0.0000, 0.0000, 0.4125)
In (0.0000, 0.0000, 0.1662)